(1)
VASP calculation (PBE) on AlCd2I after structural relaxation. Values from VASP.

Cell and atoms, written as Quantum ESPRESSO input:
```
&SYSTEM
  ibrav = 0, nat = 4, ntyp = 3
/
ATOMIC_SPECIES
Al 26.98 Al.upf
Cd 112.41 Cd.upf
I 126.90 I.upf
ATOMIC_POSITIONS crystal
Al 0.0000 0.0000 0.0000
Cd 0.2500 0.2500 0.2500
Cd 0.7500 0.7500 0.7500
I 0.5000 0.5000 0.5000
CELL_PARAMETERS angstrom
0.0000 3.8936 3.8936
3.8936 0.0000 3.8936
3.8936 3.8936 0.0000
```

Crystal system: cubic
SG: Fm-3m (225)
E_form (uncorrected) (eV/atom): 0.350
E_tot (eV/atom): -1.4303
Polymorph energy (0 for the lowest one) (meV per atom): 211

(2)
VASP calculation (PBE) on Ba2LiHoRuO6 after structural relaxation. Values from VASP.

Cell and atoms, written as Quantum ESPRESSO input:
```
&SYSTEM
  ibrav = 0, nat = 11, ntyp = 5
/
ATOMIC_SPECIES
Ba 137.33 Ba.upf
Li 6.94 Li.upf
Ho 164.93 Ho.upf
Ru 101.07 Ru.upf
O 16.00 O.upf
ATOMIC_POSITIONS crystal
Ba 0.0000 0.0000 0.0000
Ba 0.4592 0.4592 0.4592
Li 0.6195 0.6195 0.6195
Ho 0.2439 0.2439 0.2439
Ru 0.7597 0.7597 0.7597
O 0.5123 0.5123 0.9931
O 0.5119 0.9892 0.9892
O 0.5123 0.9931 0.5123
O 0.9892 0.5119 0.9892
O 0.9892 0.9892 0.5119
O 0.9931 0.5123 0.5123
CELL_PARAMETERS angstrom
2.9391 1.6969 5.3522
-2.9391 1.6969 5.3522
0.0000 -3.3938 5.3522
```

Crystal system: trigonal
SG: R3m (160)
E_form (uncorrected) (eV/atom): -2.228
E_tot (eV/atom): -6.7150
Polymorph energy (0 for the lowest one) (meV per atom): 3

(3)
VASP calculation (PBE) on DyScSi after structural relaxation. Values from VASP.

Cell and atoms, written as Quantum ESPRESSO input:
```
&SYSTEM
  ibrav = 0, nat = 3, ntyp = 3
/
ATOMIC_SPECIES
Dy 162.50 Dy.upf
Sc 44.96 Sc.upf
Si 28.09 Si.upf
ATOMIC_POSITIONS crystal
Dy 0.0000 0.0000 0.0000
Sc 0.5000 0.5000 0.5000
Si 0.2500 0.2500 0.2500
CELL_PARAMETERS angstrom
0.0000 3.3190 3.3190
3.3190 0.0000 3.3190
3.3190 3.3190 0.0000
```

Crystal system: cubic
SG: F-43m (216)
E_form (uncorrected) (eV/atom): -0.476
E_tot (eV/atom): -5.9286
Polymorph energy (0 for the lowest one) (meV per atom): 159

(4)
VASP calculation (PBE) on CuSIO after structural relaxation. Values from VASP.

Cell and atoms, written as Quantum ESPRESSO input:
```
&SYSTEM
  ibrav = 0, nat = 8, ntyp = 4
/
ATOMIC_SPECIES
Cu 63.55 Cu.upf
S 32.06 S.upf
I 126.90 I.upf
O 16.00 O.upf
ATOMIC_POSITIONS crystal
Cu 0.0000 0.0000 0.0000
Cu 0.4534 0.4391 0.8245
S 0.4748 0.9705 0.9107
S 0.5668 0.0027 0.4297
I 0.0342 0.5463 0.1272
I 0.9159 0.3961 0.6942
O 0.3736 0.7618 0.4837
O 0.3897 0.0996 0.3386
CELL_PARAMETERS angstrom
3.7531 0.0000 0.0000
-0.0556 3.8257 0.0000
-1.0560 -1.3836 13.5490
```

Crystal system: triclinic
SG: P1 (1)
E_form (uncorrected) (eV/atom): -0.450
E_tot (eV/atom): -4.1329
Polymorph energy (0 for the lowest one) (meV per atom): 0

(5)
VASP calculation (PBE) on RbZr2US8 after structural relaxation. Values from VASP.

Cell and atoms, written as Quantum ESPRESSO input:
```
&SYSTEM
  ibrav = 0, nat = 12, ntyp = 4
/
ATOMIC_SPECIES
Rb 85.47 Rb.upf
Zr 91.22 Zr.upf
U 238.03 U.upf
S 32.06 S.upf
ATOMIC_POSITIONS crystal
Rb 0.0000 0.0000 0.0000
Zr 0.4997 0.5003 0.2698
Zr 0.5003 0.4997 0.7302
U 0.0000 0.0000 0.5000
S 0.2493 0.3493 0.5003
S 0.2494 0.4747 0.0002
S 0.2708 0.8317 0.6991
S 0.2726 0.8332 0.3004
S 0.7274 0.1668 0.6996
S 0.7292 0.1683 0.3009
S 0.7506 0.5253 0.9998
S 0.7507 0.6507 0.4997
CELL_PARAMETERS angstrom
5.5710 0.0000 0.0000
0.1165 6.6913 0.0000
0.0166 0.0077 8.3336
```

Crystal system: triclinic
SG: P-1 (2)
E_form (uncorrected) (eV/atom): -1.076
E_tot (eV/atom): -6.2733

(6)
VASP calculation (PBE) on Li4Pb2N after structural relaxation. Values from VASP.

Cell and atoms, written as Quantum ESPRESSO input:
```
&SYSTEM
  ibrav = 0, nat = 7, ntyp = 3
/
ATOMIC_SPECIES
Li 6.94 Li.upf
Pb 207.20 Pb.upf
N 14.01 N.upf
ATOMIC_POSITIONS crystal
Li 0.0000 0.5000 0.5000
Li 0.1118 0.1118 0.0000
Li 0.5000 0.0000 0.5000
Li 0.8882 0.8882 0.0000
Pb 0.3035 0.3035 0.0000
Pb 0.6965 0.6965 0.0000
N 0.0000 0.0000 0.0000
CELL_PARAMETERS angstrom
-1.9654 1.9654 8.5972
1.9654 -1.9654 8.5972
1.9654 1.9654 -8.5972
```

Crystal system: tetragonal
SG: I4/mmm (139)
E_form (uncorrected) (eV/atom): -0.264
E_tot (eV/atom): -3.6064

(7)
VASP calculation (PBE) on Nb4ZnC2 after structural relaxation. Values from VASP.

Cell and atoms, written as Quantum ESPRESSO input:
```
&SYSTEM
  ibrav = 0, nat = 14, ntyp = 3
/
ATOMIC_SPECIES
Nb 92.91 Nb.upf
Zn 65.41 Zn.upf
C 12.01 C.upf
ATOMIC_POSITIONS crystal
Nb 0.0000 0.0000 0.0000
Nb 0.0000 0.0000 0.5000
Nb 0.2602 0.7398 0.6070
Nb 0.2602 0.7398 0.8930
Nb 0.4198 0.5802 0.2500
Nb 0.5802 0.4198 0.7500
Nb 0.7398 0.2602 0.1070
Nb 0.7398 0.2602 0.3930
Zn 0.1093 0.8907 0.2500
Zn 0.8907 0.1093 0.7500
C 0.3653 0.6347 0.0615
C 0.3653 0.6347 0.4385
C 0.6347 0.3653 0.5615
C 0.6347 0.3653 0.9385
CELL_PARAMETERS angstrom
1.6459 -5.3543 0.0000
1.6459 5.3543 0.0000
0.0000 0.0000 11.2327
```

Crystal system: orthorhombic
SG: Cmcm (63)
E_tot (eV/atom): -8.9808
E_form (eV/atom): -0.4093

(8)
VASP calculation (PBE) on HoPuMnRu after structural relaxation. Values from VASP.

Cell and atoms, written as Quantum ESPRESSO input:
```
&SYSTEM
  ibrav = 0, nat = 4, ntyp = 4
/
ATOMIC_SPECIES
Ho 164.93 Ho.upf
Pu 244.00 Pu.upf
Mn 54.94 Mn.upf
Ru 101.07 Ru.upf
ATOMIC_POSITIONS crystal
Ho 0.0000 0.0000 0.0000
Pu 0.5000 0.5000 0.5000
Mn 0.2500 0.2500 0.2500
Ru 0.7500 0.7500 0.7500
CELL_PARAMETERS angstrom
0.0000 3.4009 3.4009
3.4009 0.0000 3.4009
3.4009 3.4009 0.0000
```

Crystal system: cubic
SG: F-43m (216)
E_tot (eV/atom): -9.4381
E_form (eV/atom): -0.0994

(9)
VASP calculation (PBE) on PmY2Ho3 after structural relaxation. Values from VASP.

Cell and atoms, written as Quantum ESPRESSO input:
```
&SYSTEM
  ibrav = 0, nat = 12, ntyp = 3
/
ATOMIC_SPECIES
Pm 145.00 Pm.upf
Y 88.91 Y.upf
Ho 164.93 Ho.upf
ATOMIC_POSITIONS crystal
Pm 0.2490 0.2511 0.0018
Pm 0.7510 0.7489 0.9982
Y 0.1386 0.1397 0.6655
Y 0.3610 0.8600 0.3357
Y 0.6390 0.1400 0.6643
Y 0.8614 0.8603 0.3345
Ho 0.1399 0.6381 0.6653
Ho 0.2509 0.7491 0.9989
Ho 0.3606 0.3623 0.3339
Ho 0.6394 0.6377 0.6661
Ho 0.7491 0.2509 0.0011
Ho 0.8601 0.3619 0.3347
CELL_PARAMETERS angstrom
7.1725 0.0000 0.0000
3.5819 6.2234 0.0000
1.7954 1.0455 8.5941
```

Crystal system: triclinic
SG: P-1 (2)
E_tot (eV/atom): -5.2375
Polymorph energy (0 for the lowest one) (meV per atom): 0
E_form (eV/atom): -0.0022

(10)
VASP calculation (PBE) on AlRePt2Au after structural relaxation. Values from VASP.

Cell and atoms, written as Quantum ESPRESSO input:
```
&SYSTEM
  ibrav = 0, nat = 5, ntyp = 4
/
ATOMIC_SPECIES
Al 26.98 Al.upf
Re 186.21 Re.upf
Pt 195.08 Pt.upf
Au 196.97 Au.upf
ATOMIC_POSITIONS crystal
Al 0.0000 0.0000 0.0000
Re 0.5000 0.5000 0.5000
Pt 0.0000 0.5000 0.5000
Pt 0.5000 0.0000 0.5000
Au 0.5000 0.5000 0.0000
CELL_PARAMETERS angstrom
4.8251 0.0000 0.0000
0.0000 4.8251 0.0000
0.0000 0.0000 5.0901
```

Crystal system: tetragonal
SG: P4/mmm (123)
E_tot (eV/atom): -5.1555
Polymorph energy (0 for the lowest one) (meV per atom): 111
E_form (eV/atom): 1.1544

(11)
VASP calculation (PBE) on LiGdMgTl after structural relaxation. Values from VASP.

Cell and atoms, written as Quantum ESPRESSO input:
```
&SYSTEM
  ibrav = 0, nat = 4, ntyp = 4
/
ATOMIC_SPECIES
Li 6.94 Li.upf
Gd 157.25 Gd.upf
Mg 24.30 Mg.upf
Tl 204.38 Tl.upf
ATOMIC_POSITIONS crystal
Li 0.0000 0.0000 0.0000
Gd 0.5000 0.5000 0.5000
Mg 0.2500 0.2500 0.2500
Tl 0.7500 0.7500 0.7500
CELL_PARAMETERS angstrom
0.0000 3.6420 3.6420
3.6420 0.0000 3.6420
3.6420 3.6420 0.0000
```

Crystal system: cubic
SG: F-43m (216)
E_tot (eV/atom): -5.1894
E_form (eV/atom): -0.2005

(12)
VASP calculation (PBE) on Sc2InBr after structural relaxation. Values from VASP.

Cell and atoms, written as Quantum ESPRESSO input:
```
&SYSTEM
  ibrav = 0, nat = 4, ntyp = 3
/
ATOMIC_SPECIES
Sc 44.96 Sc.upf
In 114.82 In.upf
Br 79.90 Br.upf
ATOMIC_POSITIONS crystal
Sc 0.0893 0.0893 0.0893
Sc 0.9107 0.9107 0.9107
In 0.5000 0.5000 0.5000
Br 0.0000 0.0000 0.0000
CELL_PARAMETERS angstrom
1.7842 1.0301 9.6220
-1.7842 1.0301 9.6220
0.0000 -2.0602 9.6220
```

Crystal system: trigonal
SG: R-3m (166)
E_form (uncorrected) (eV/atom): -0.439
E_tot (eV/atom): -4.7076
Polymorph energy (0 for the lowest one) (meV per atom): 171